The following is a DFT calculation (GGA-PBE) of crystalline AcPm4PrTm2 at its relaxed geometry.

abc: 5.1651 6.3439 9.7044
angles: 89.82 74.57 65.98
Sites, in units of the cell vectors:
Tm: 0.2554 0.2440 0.2451
Tm: 0.7446 0.7560 0.7549
Pm: 0.3734 0.3758 0.8774
Pm: 0.1231 0.1248 0.6290
Pm: 0.8769 0.8752 0.3710
Pm: 0.6266 0.6242 0.1226
Pr: 0.0000 0.0000 0.0000
Ac: 0.5000 0.5000 0.5000

As for the formation enthalpy at 0 K: 0.0371 eV per atom. Its symmetry is C2/m, No. 12. The spin magnetization is 0.0 Bohr magnetons per cell. The raw total energy comes out at -36.5 eV/f.u.

The following is a DFT calculation (GGA-PBE) of crystalline AcPm2PrTm4 at its relaxed geometry.

abc: 9.6392 9.6392 11.9733
angles: 128.40 128.40 88.46
Sites, in units of the cell vectors:
Pr: 0.0000 0.0000 0.0000
Pr: 0.5000 0.5000 0.5000
Ac: 0.0000 0.5000 0.5000
Ac: 0.0000 0.5000 0.0000
Tm: 0.7363 0.2394 0.9878
Tm: 0.7416 0.7578 0.0016
Tm: 0.7394 0.2363 0.4878
Tm: 0.2578 0.2416 0.5016
Tm: 0.2584 0.2422 0.9984
Tm: 0.7422 0.7584 0.4984
Tm: 0.2606 0.7637 0.5122
Tm: 0.2637 0.7606 0.0122
Pm: 0.5000 0.5000 0.0000
Pm: 0.5000 0.0000 0.5000
Pm: 0.0000 0.0000 0.5000
Pm: 0.5000 0.0000 0.0000

As for the formation enthalpy at 0 K: 0.4284 eV per atom. Its symmetry is Imma, No. 74. The spin magnetization is 0.1 Bohr magnetons per cell. The raw total energy comes out at -32.8 eV/f.u.

Among the records above, which one has the lowest raw total energy?
AcPm4PrTm2